Entry 1:
Density functional theory data (PBE) for a relaxed Na2LiHgF crystal. Values from VASP.

Properties
* ΔE_f (raw): -1.13 eV/atom
* crystal system: tetragonal

Geometry as Quantum ESPRESSO input:
```
&SYSTEM
  ibrav = 0, nat = 5, ntyp = 4
/
ATOMIC_SPECIES
Na 22.99 Na.upf
Li 6.94 Li.upf
F 19.00 F.upf
Hg 200.59 Hg.upf
ATOMIC_POSITIONS crystal
Na 0.000 0.500 0.000
Na 0.500 0.000 0.000
Li 0.000 0.000 0.500
F 0.000 0.000 0.000
Hg 0.500 0.500 0.500
CELL_PARAMETERS angstrom
4.940 0.000 0.000
0.000 4.940 0.000
0.000 0.000 4.027
```



Entry 2:
Density functional theory data (PBE) for a relaxed NaLiHg2F6 crystal. Values from VASP.

Properties
* ΔE_f (raw): -1.97 eV/atom
* crystal system: triclinic

Geometry as Quantum ESPRESSO input:
```
&SYSTEM
  ibrav = 0, nat = 10, ntyp = 4
/
ATOMIC_SPECIES
F 19.00 F.upf
Hg 200.59 Hg.upf
Na 22.99 Na.upf
Li 6.94 Li.upf
ATOMIC_POSITIONS crystal
F 0.427 0.676 0.794
F 0.674 0.104 0.793
F 0.102 0.428 0.795
F 0.958 0.529 0.310
F 0.205 0.957 0.309
F 0.531 0.204 0.308
Hg 0.092 0.093 0.723
Hg 0.540 0.539 0.380
Na 0.816 0.816 0.552
Li 0.316 0.316 0.052
CELL_PARAMETERS angstrom
5.864 0.003 0.004
2.935 5.076 -0.004
2.937 1.688 4.699
```



- Look up the ΔE_f (raw) of the first one.
  -1.13 eV/atom



Repeat the first record exactly.
Density functional theory data (PBE) for a relaxed Na2LiHgF crystal. Values from VASP.

Properties
* ΔE_f (raw): -1.13 eV/atom
* crystal system: tetragonal

Geometry as Quantum ESPRESSO input:
```
&SYSTEM
  ibrav = 0, nat = 5, ntyp = 4
/
ATOMIC_SPECIES
Na 22.99 Na.upf
Li 6.94 Li.upf
F 19.00 F.upf
Hg 200.59 Hg.upf
ATOMIC_POSITIONS crystal
Na 0.000 0.500 0.000
Na 0.500 0.000 0.000
Li 0.000 0.000 0.500
F 0.000 0.000 0.000
Hg 0.500 0.500 0.500
CELL_PARAMETERS angstrom
4.940 0.000 0.000
0.000 4.940 0.000
0.000 0.000 4.027
```



- Which formula does entry 2 have?
  NaLiHg2F6